TbDy3Y2Te6 | GGA-PBE | relaxed

Unit cell a=19.001 b=4.345 c=8.757 alpha=90.00 beta=103.30 gamma=90.00
Space group C2/m (No. 12)
Symmetry-distinct sites (fractional):
1 Tb 0.000 0.000 0.000 [2 per cell]
2 Dy 0.000 0.000 0.500 [2 per cell]
3 Dy 0.166 0.500 0.833 [4 per cell]
4 Y 0.166 0.500 0.332 [4 per cell]
5 Te 0.000 0.500 0.251 [4 per cell]
6 Te 0.167 0.000 0.082 [4 per cell]
7 Te 0.167 0.000 0.583 [4 per cell]

Total magnetic moment = 0.00 μB per cell
ΔE_f (raw) = -1.294 eV/atom

---

TbSmErAl | GGA-PBE | relaxed

Unit cell a=3.518 b=3.518 c=9.065 alpha=90.00 beta=90.00 gamma=90.00
Space group P4mm (No. 99)
Symmetry-distinct sites (fractional):
1 Tb 0.000 0.000 0.000 [1 per cell]
2 Sm 0.500 0.500 0.292 [1 per cell]
3 Er 0.000 0.000 0.578 [1 per cell]
4 Al 0.500 0.500 0.786 [1 per cell]

Calculated formation energy = -0.19 eV/atom
Energy above the most stable polymorph in this dataset = 0.0 meV per atom
Total magnetic moment = 0.00 μB per cell

---

GaPRuAu2S | GGA-PBE | relaxed

Unit cell a=3.161 b=5.224 c=6.823 alpha=90.33 beta=103.03 gamma=90.14
Space group P1 (No. 1)
Symmetry-distinct sites (fractional):
1 Ga 0.000 0.000 0.000 [1 per cell]
2 P 0.805 0.119 0.598 [1 per cell]
3 Ru 0.406 0.315 0.804 [1 per cell]
4 Au 0.637 0.286 0.264 [1 per cell]
5 Au 0.790 0.668 0.566 [1 per cell]
6 S 0.517 0.670 0.038 [1 per cell]

Energy above the most stable polymorph in this dataset = 68.4 meV per atom
Total magnetic moment = 0.00 μB per cell
ΔE_f (raw) = -0.078 eV/atom

---

Th3CoNi2 | GGA-PBE | relaxed

Unit cell a=12.885 b=5.770 c=7.144 alpha=90.00 beta=104.25 gamma=90.00
Space group C2/c (No. 15)
Symmetry-distinct sites (fractional):
1 Th 0.000 0.117 0.250 [4 per cell]
2 Th 0.168 0.403 0.636 [8 per cell]
3 Co 0.000 0.357 0.750 [4 per cell]
4 Ni 0.161 0.120 0.006 [8 per cell]

Calculated formation energy = -0.33 eV/atom
Total magnetic moment = 0.00 μB per cell

---

Nb2CuAu | GGA-PBE | relaxed

Unit cell a=7.391 b=7.391 c=5.200 alpha=90.00 beta=90.00 gamma=90.00
Space group I-42d (No. 122)
Symmetry-distinct sites (fractional):
1 Nb 0.228 0.750 0.125 [8 per cell]
2 Cu 0.000 0.000 0.000 [4 per cell]
3 Au 0.000 0.000 0.500 [4 per cell]

Calculated formation energy = 0.40 eV/atom
Total magnetic moment = 0.00 μB per cell

---

TcPbCl6 | GGA-PBE | relaxed

Unit cell a=6.5370 b=6.5370 c=17.9968 alpha=90.00 beta=90.00 gamma=120.00
Space group R-3 (No. 148, hexagonal axes)
Symmetry-distinct sites (fractional):
1 Tc 0.0000 0.0000 0.0000 [3 per cell]
2 Pb 0.0000 0.0000 0.5000 [3 per cell]
3 Cl 0.0219 0.6379 0.5911 [18 per cell]

Energy above the most stable polymorph in this dataset = 12.6 meV per atom
Total magnetic moment = 9.00 μB per cell
ΔE_f (raw) = -0.840 eV/atom

---

> What is the total magnetic moment in the first record?

0.00 μB per cell